VASP calculation (PBEsol) on Al2MoRh after structural relaxation.

a = 5.492 Å, b = 5.492 Å, c = 5.492 Å
α = 104.30°, β = 104.30°, γ = 120.41°
Fractional coordinates of all 8 atoms:
Mo 0.750 0.250 0.500
Rh 0.000 0.000 0.000
Al 0.625 0.102 0.977
Mo 0.500 0.500 0.000
Al 0.125 0.648 0.023
Al 0.352 0.375 0.477
Rh 0.250 0.750 0.500
Al 0.898 0.875 0.523

Values from the calculation:
Magnetization = 0.0 μB per cell
Distance to the lowest polymorph of the same formula = 482.5 meV per atom
DOS(E_F) = 3.4 states/eV/f.u.
Total energy = -6.91 eV per atom

VASP calculation (PBEsol) on AlMoRh2 after structural relaxation.

a = 2.836 Å, b = 2.836 Å, c = 6.934 Å
α = 90.00°, β = 90.00°, γ = 90.00°
Fractional coordinates of all 4 atoms:
Mo 0.500 0.500 0.749
Al 0.000 0.000 0.482
Rh 0.000 0.000 0.996
Rh 0.500 0.500 0.273

Values from the calculation:
Magnetization = 0.0 μB per cell
DOS(E_F) = 2.5 states/eV/f.u.
Total energy = -8.37 eV per atom

VASP calculation (PBEsol) on AlMoRh2 after structural relaxation.

a = 2.761 Å, b = 4.405 Å, c = 4.613 Å
α = 90.00°, β = 89.81°, γ = 90.00°
Fractional coordinates of all 4 atoms:
Al 0.373 0.000 0.420
Rh 0.873 0.500 0.326
Mo 0.377 0.500 0.808
Rh 0.877 0.000 0.946

Values from the calculation:
Magnetization = 0.0 μB per cell
DOS(E_F) = 2.9 states/eV/f.u.
Total energy = -8.45 eV per atom

VASP calculation (PBEsol) on AlMoRh2 after structural relaxation.

a = 2.804 Å, b = 2.804 Å, c = 6.949 Å
α = 90.00°, β = 90.00°, γ = 90.00°
Fractional coordinates of all 4 atoms:
Rh 0.000 0.000 0.767
Mo 0.500 0.500 0.500
Rh 0.000 0.000 0.233
Al 0.500 0.500 0.000

Values from the calculation:
Magnetization = 0.0 μB per cell
DOS(E_F) = 1.3 states/eV/f.u.
Total energy = -8.66 eV per atom